Record 1
DFT (PBE) results for crystalline KErAs at its relaxed geometry.

## Properties
Magnetization   0.001 μB/cell

Cell: 5.023 5.023 5.023 Å, 60.00 60.00 60.00°
Fractional positions:
K: 0.750 0.750 0.750
Er: 0.250 0.250 0.250
As: 0.000 0.000 0.000

Record 2
DFT (PBE) results for crystalline KPrPa at its relaxed geometry.

## Properties
Magnetization   1.730 μB/cell

Cell: 5.443 5.443 5.443 Å, 60.00 60.00 60.00°
Fractional positions:
Pr: 0.000 0.000 0.000
K: 0.250 0.250 0.250
Pa: 0.750 0.750 0.750

Record 3
DFT (PBE) results for crystalline RbLuHg at its relaxed geometry.

## Properties
Magnetization   0.003 μB/cell

Cell: 5.479 5.479 5.479 Å, 60.00 60.00 60.00°
Fractional positions:
Rb: 0.750 0.750 0.750
Lu: 0.250 0.250 0.250
Hg: 0.000 0.000 0.000

Record 4
DFT (PBE) results for crystalline NaBePbAu at its relaxed geometry.

Cell: 4.767 4.767 4.767 Å, 60.00 60.00 60.00°
Fractional positions:
Au: 0.750 0.750 0.750
Pb: 0.250 0.250 0.250
Na: 0.500 0.500 0.500
Be: 0.000 0.000 0.000

Respective uncorrected energy values: -3.781 -3.461 -1.513 -2.783 eV per atom.